GGA-PBE K2MgAs, relaxed; magnetization = 0.00 μB/f.u.; energy above the lowest structure with this stoichiometry = 338 meV/atom; formation energy = -0.05 eV/atom; space group = I-4m2 (119)
1.0
-5.3755 0.5508 -1.7601
0.7980 -2.6908 -4.9417
1.4002 -2.2622 5.0219
As K Mg
1 2 1
Cartesian
-3.1320 -1.3907 -0.0445
0.0000 0.0000 0.0000
-0.0453 -3.0115 -1.6353
-2.2888 -1.0700 -3.3509